Entry 1:
{
  "formula": "Dy6Ho2Er",
  "functional": "PBE",
  "state": "optimized geometry",
  "m_tot_mub_per_cell": 0.00,
  "ef_ev_per_atom": 0.02,
  "lattice_angstrom": [[10.572, 0.000, 0.000], [0.000, 10.572, 0.000], [0.000, 0.000, 4.987]],
  "species": ["Dy", "Dy", "Dy", "Dy", "Dy", "Dy", "Dy", "Dy", "Dy", "Dy", "Dy", "Dy", "Ho", "Ho", "Ho", "Ho", "Er", "Er"],
  "frac_coords": [[0.000, 0.333, 0.000], [0.000, 0.667, 0.000], [0.166, 0.166, 0.500], [0.167, 0.500, 0.500], [0.333, 0.000, 0.000], [0.334, 0.666, 0.000], [0.500, 0.167, 0.500], [0.500, 0.833, 0.500], [0.666, 0.334, 0.000], [0.667, 0.000, 0.000], [0.833, 0.500, 0.500], [0.834, 0.834, 0.500], [0.166, 0.834, 0.500], [0.334, 0.334, 0.000], [0.666, 0.666, 0.000], [0.834, 0.166, 0.500], [0.000, 0.000, 0.000], [0.500, 0.500, 0.500]]
}

***

Entry 2:
{
  "formula": "Ac6Pb3N",
  "functional": "PBE",
  "state": "optimized geometry",
  "m_tot_mub_per_cell": 0.00,
  "formation_energy_uncorrected_ev_per_atom": -0.497,
  "lattice_angstrom": [[6.521, -8.023, 0.000], [6.521, 8.023, 0.000], [0.000, 0.000, 7.855]],
  "species": ["Ac", "Ac", "Ac", "Ac", "Ac", "Ac", "Ac", "Ac", "Ac", "Ac", "Ac", "Ac", "Pb", "Pb", "Pb", "Pb", "Pb", "Pb", "N", "N"],
  "frac_coords": [[0.050, 0.950, 0.500], [0.106, 0.587, 0.526], [0.221, 0.779, 0.087], [0.316, 0.367, 0.068], [0.367, 0.316, 0.568], [0.413, 0.894, 0.526], [0.587, 0.106, 0.026], [0.633, 0.684, 0.068], [0.684, 0.633, 0.568], [0.779, 0.221, 0.587], [0.894, 0.413, 0.026], [0.950, 0.050, 0.000], [0.066, 0.276, 0.339], [0.276, 0.066, 0.839], [0.380, 0.620, 0.778], [0.620, 0.380, 0.278], [0.724, 0.934, 0.339], [0.934, 0.724, 0.839], [0.195, 0.805, 0.396], [0.805, 0.195, 0.896]]
}

***

Entry 3:
{
  "formula": "AgOsW2",
  "functional": "PBE",
  "state": "optimized geometry",
  "m_tot_mub_per_cell": 0.00,
  "ef_ev_per_atom": 0.54,
  "lattice_angstrom": [[4.733, -1.446, 0.000], [4.733, 1.446, 0.000], [-0.986, 0.000, 4.657]],
  "species": ["Ag", "Os", "W", "W"],
  "frac_coords": [[0.000, 0.000, 0.000], [0.500, 0.500, 0.500], [0.242, 0.242, 0.735], [0.758, 0.758, 0.265]]
}

***

Entry 4:
{
  "formula": "Ho4TlCd3",
  "functional": "PBE",
  "state": "optimized geometry",
  "m_tot_mub_per_cell": 0.00,
  "ef_ev_per_atom": -0.32,
  "lattice_angstrom": [[3.737, 0.000, 0.000], [0.000, 3.737, 0.000], [0.000, 0.000, 14.991]],
  "species": ["Ho", "Ho", "Ho", "Ho", "Tl", "Cd", "Cd", "Cd"],
  "frac_coords": [[0.000, 0.000, 0.124], [0.000, 0.000, 0.370], [0.000, 0.000, 0.630], [0.000, 0.000, 0.876], [0.500, 0.500, 0.500], [0.500, 0.500, 0.000], [0.500, 0.500, 0.245], [0.500, 0.500, 0.755]]
}